PaAg2TeO8: relaxed, PBE-GGA.

Cell: 5.6645 5.6645 6.0175 Å, 90.00 90.00 120.00°
Each line ends with the local moment (μB).
Positions (direct):
Pa1 0.0000 0.0000 0.5000  -0.07
Ag1 0.6667 0.3333 0.0897  0.30
Ag2 0.3333 0.6667 0.9103  0.30
Te1 0.0000 0.0000 0.0000  -0.01
O1 0.8470 0.6940 0.7919  0.04
O2 0.3060 0.1530 0.7919  0.04
O3 0.8470 0.1530 0.7919  0.04
O4 0.1530 0.3060 0.2081  0.04
O5 0.6940 0.8470 0.2081  0.04
O6 0.1530 0.8470 0.2081  0.04
O7 0.6667 0.3333 0.4296  0.90
O8 0.3333 0.6667 0.5704  0.90

Computed properties:
For the calculated volume, the calculation gives 167.2 Å³/cell. As for the energy: -5.61 eV/atom. Its raw formation energy is -897 kJ/mol of formula units. As for the density of states at the Fermi level: 7.0 states/eV per cell.



ZnSi2Rh: relaxed, PBE-GGA.

Cell: 2.8126 2.8126 7.3249 Å, 90.00 90.00 90.00°
Positions (direct):
Rh1 0.5000 0.5000 0.7771
Si1 0.0000 0.0000 0.9738
Si2 0.5000 0.5000 0.2302
Zn1 0.0000 0.0000 0.5189

Computed properties:
For the calculated volume, the calculation gives 57.9 Å³/cell. As for the energy: -4.97 eV/atom. Its raw formation energy is -39 kJ/mol of formula units. As for the density of states at the Fermi level: 0.7 states/eV per cell.



In2AgSe: relaxed, PBE-GGA.

Cell: 6.9252 6.9252 7.2385 Å, 61.42 61.42 90.00°
Positions (direct):
Se1 0.5000 0.5000 0.0000
Se2 0.2500 0.7500 0.5000
Ag1 0.0000 0.0000 0.0000
Ag2 0.7500 0.2500 0.5000
In1 0.6292 0.1250 0.2500
In2 0.1208 0.6250 0.2500
In3 0.3750 0.3708 0.7500
In4 0.8750 0.8792 0.7500

Computed properties:
For the calculated volume, the calculation gives 255.7 Å³/cell. As for the energy: -3.02 eV/atom. Its raw formation energy is -24 kJ/mol of formula units. As for the density of states at the Fermi level: 2.0 states/eV per cell.



SiIrBr2: relaxed, PBE-GGA.

Cell: 6.4851 6.4851 6.4851 Å, 149.40 137.94 52.90°
Positions (direct):
Br1 0.9804 0.9804 0.0000
Br2 0.6849 0.1849 0.5000
Ir1 0.4844 0.4844 0.0000
Si1 0.3503 0.8503 0.5000

Computed properties:
For the calculated volume, the calculation gives 92.5 Å³/cell. As for the energy: -4.03 eV/atom. Its raw formation energy is 144 kJ/mol of formula units. As for the density of states at the Fermi level: 2.4 states/eV per cell. The energy above the most stable polymorph in this dataset is 546 meV/atom.



Tl5PdPt4: relaxed, PBE-GGA.

Cell: 4.1366 6.7309 9.4905 Å, 111.70 102.59 90.00°
Positions (direct):
Tl1 0.1239 0.2706 0.2478
Tl2 0.1959 0.7761 0.3918
Tl3 0.8041 0.2239 0.6082
Tl4 0.5000 0.5000 0.0000
Tl5 0.8761 0.7294 0.7522
Pd1 0.5000 0.0000 0.0000
Pt1 0.6464 0.0017 0.2928
Pt2 0.9561 0.2103 0.9122
Pt3 0.3536 0.9983 0.7072
Pt4 0.0439 0.7897 0.0878

Computed properties:
For the calculated volume, the calculation gives 238.7 Å³/cell. As for the energy: -4.16 eV/atom. As for the density of states at the Fermi level: 4.4 states/eV per cell.



Ta4MnAs: relaxed, PBE-GGA.

Cell: 5.4449 5.4449 5.4449 Å, 60.00 60.00 60.00°
Each line ends with the local moment (μB).
Positions (direct):
Ta1 0.6256 0.6256 0.1233  -0.15
Ta2 0.6256 0.1233 0.6256  -0.15
Ta3 0.6256 0.6256 0.6256  -0.15
Ta4 0.1233 0.6256 0.6256  -0.15
Mn1 0.0000 0.0000 0.0000  3.44
As1 0.2500 0.2500 0.2500  -0.02

Computed properties:
For the calculated volume, the calculation gives 114.1 Å³/cell. As for the energy: -9.57 eV/atom. As for the density of states at the Fermi level: 6.9 states/eV per cell.



Q: Among the records above, which one has the lowest calculated volume?
A: ZnSi2Rh